[1]
The following is a DFT calculation (PBE-GGA) of Sr2MgZn3In4 after structural relaxation.

crystal system	tetragonal
density of states at the Fermi level	0.564	states/eV/atom
SG	P-4m2 (115)
ΔE_f	-0.27	eV/atom
volume	253.8	Å³ per cell

a = 4.5678 Å, b = 4.5678 Å, c = 12.1635 Å
α = 90.00°, β = 90.00°, γ = 90.00°
Last column: nearest neighbours and their distance in Å.
Atoms (fractional coordinates):
Sr  0.5000  0.0000  0.2443  6 Zn 3.47-3.86, 8 In 3.52-3.75, 2 Mg 3.86
Sr  0.0000  0.5000  0.7557  6 Zn 3.47-3.86, 8 In 3.52-3.75, 2 Mg 3.86
Mg  0.5000  0.5000  0.5000  4 In 2.85
Zn  0.0000  0.0000  0.5000  4 In 2.85
Zn  0.5000  0.0000  0.8608  5 In 2.68-2.84
Zn  0.0000  0.5000  0.1392  5 In 2.68-2.84
In  0.5000  0.5000  0.0000  4 Zn 2.84
In  0.0000  0.0000  0.0000  4 Zn 2.84
In  0.5000  0.0000  0.6405  3 Zn 2.68-2.85, 2 Mg 2.85
In  0.0000  0.5000  0.3595  3 Zn 2.68-2.85, 2 Mg 2.85

***

[2]
The following is a DFT calculation (PBE-GGA) of Tl5Hg24 after structural relaxation.

crystal system	cubic
density of states at the Fermi level	0.417	states/eV/atom
SG	I-43m (217)
ΔE_f	0.01	eV/atom
volume	812.6	Å³ per cell

a = 10.1821 Å, b = 10.1821 Å, c = 10.1821 Å
α = 109.47°, β = 109.47°, γ = 109.47°
Last column: nearest neighbours and their distance in Å.
Atoms (fractional coordinates):
Hg  0.1920  0.3834  0.0000  8 Hg 3.15-3.36
Hg  0.3834  0.1920  0.0000  8 Hg 3.15-3.36
Hg  0.8080  0.8080  0.1914  8 Hg 3.15-3.36
Hg  0.6166  0.6166  0.8086  8 Hg 3.15-3.36
Hg  0.8080  0.1914  0.8080  8 Hg 3.15-3.36
Hg  0.6166  0.8086  0.6166  8 Hg 3.15-3.36
Hg  0.3834  0.0000  0.1920  8 Hg 3.15-3.36
Hg  0.1920  0.0000  0.3834  8 Hg 3.15-3.36
Hg  0.0000  0.3834  0.1920  8 Hg 3.15-3.36
Hg  0.0000  0.1920  0.3834  8 Hg 3.15-3.36
Hg  0.8086  0.6166  0.6166  8 Hg 3.15-3.36
Hg  0.1914  0.8080  0.8080  8 Hg 3.15-3.36
Hg  0.6851  0.4132  0.0000  7 Hg 3.15-3.40, 1 Tl 3.28
Hg  0.4132  0.6851  0.0000  7 Hg 3.15-3.40, 1 Tl 3.28
Hg  0.3149  0.3149  0.7281  7 Hg 3.15-3.40, 1 Tl 3.28
Hg  0.5868  0.5868  0.2719  7 Hg 3.15-3.40, 1 Tl 3.28
Hg  0.3149  0.7281  0.3149  7 Hg 3.15-3.40, 1 Tl 3.28
Hg  0.5868  0.2719  0.5868  7 Hg 3.15-3.40, 1 Tl 3.28
Hg  0.4132  0.0000  0.6851  7 Hg 3.15-3.40, 1 Tl 3.28
Hg  0.6851  0.0000  0.4132  7 Hg 3.15-3.40, 1 Tl 3.28
Hg  0.0000  0.4132  0.6851  7 Hg 3.15-3.40, 1 Tl 3.28
Hg  0.0000  0.6851  0.4132  7 Hg 3.15-3.40, 1 Tl 3.28
Hg  0.2719  0.5868  0.5868  7 Hg 3.15-3.40, 1 Tl 3.28
Hg  0.7281  0.3149  0.3149  7 Hg 3.15-3.40, 1 Tl 3.28
Tl  0.0000  0.6431  0.0000  9 Hg 3.28-3.60, 1 Tl 3.63
Tl  0.6431  0.0000  0.0000  9 Hg 3.28-3.60, 1 Tl 3.63
Tl  0.0000  0.0000  0.6431  9 Hg 3.28-3.60, 1 Tl 3.63
Tl  0.3569  0.3569  0.3569  9 Hg 3.28-3.60, 1 Tl 3.63
Tl  0.0000  0.0000  0.0000  4 Tl 3.63, 12 Hg 3.74

***

[3]
The following is a DFT calculation (PBE-GGA) of Ac2ErN after structural relaxation.

crystal system	trigonal
density of states at the Fermi level	1.032	states/eV/atom
SG	R-3m (166)
uncorrected formation energy	-0.3001	eV per atom
volume	123.9	Å³ per cell

a = 3.7353 Å, b = 3.7353 Å, c = 10.4753 Å
α = 79.73°, β = 79.73°, γ = 60.00°
Last column: nearest neighbours and their distance in Å.
Atoms (fractional coordinates):
Ac  0.1170  0.1170  0.6490  3 N 2.64
Ac  0.8830  0.8830  0.3510  3 N 2.64
N  0.5000  0.5000  0.5000  6 Ac 2.64
Er  0.0000  0.0000  0.0000  2 Ac 3.60, 6 Er 3.74

***

[4]
The following is a DFT calculation (PBE-GGA) of NaErRh after structural relaxation.

crystal system	monoclinic
density of states at the Fermi level	0.734	states/eV/atom
SG	C2/m (12)
ΔE_f	-0.22	eV/atom
volume	154.1	Å³ per cell

a = 4.5806 Å, b = 4.6436 Å, c = 8.7249 Å
α = 74.94°, β = 90.00°, γ = 119.55°
Last column: nearest neighbours and their distance in Å.
Atoms (fractional coordinates):
Er  0.1238  0.2475  0.1279  4 Rh 2.75-2.80
Er  0.8762  0.7525  0.8721  4 Rh 2.75-2.80
Na  0.3686  0.7372  0.4009  4 Rh 3.09-3.25, 3 Na 3.11-3.15
Na  0.6314  0.2628  0.5991  4 Rh 3.09-3.25, 3 Na 3.11-3.15
Rh  0.2339  0.4678  0.7912  4 Er 2.75-2.80
Rh  0.7661  0.5322  0.2088  4 Er 2.75-2.80

***

| no. | mass density (g/cm³) |
| --- | --- |
| 1 | 5.6 |
| 2 | 11.9 |
| 3 | 8.5 |
| 4 | 6.3 |